# PrY2Tl2Zn2 GGA-PBE relaxed
data_PrY2Tl2Zn2
_chemical_formula_sum 'Pr3 Y6 Tl6 Zn6'
_symmetry_space_group_name_H-M 'R -3 m'
_symmetry_Int_Tables_number 166
_symmetry_space_group_name_Hall '-R 3 2"'
_cell_length_a 4.7850
_cell_length_b 4.7850
_cell_length_c 27.7472
_cell_angle_alpha 90.00
_cell_angle_beta 90.00
_cell_angle_gamma 120.00
loop_
_atom_site_label
_atom_site_fract_x
_atom_site_fract_y
_atom_site_fract_z
Pr1 0.0000 0.0000 0.0000
Y1 0.0000 0.0000 0.1295
Tl1 0.0000 0.0000 0.2628
Zn1 0.0000 0.0000 0.4164
# V: 26.20 A^3/atom
# ΔH_f (0 K): -1.347 eV/f.u.
# crystal system: trigonal